This record from the Alexandria database describes crystalline Sm2YPb at its relaxed geometry. The functional is PBE.

Unit cell a=3.6567 b=3.6567 c=33.4614 alpha=90.00 beta=90.00 gamma=120.00
Space group R3m (No. 160, hexagonal axes)
Inequivalent atoms, fractional coordinates:
Sm 0.0000 0.0000 0.0000
Sm 0.0000 0.0000 0.1725
Y 0.0000 0.0000 0.7531
Pb 0.0000 0.0000 0.5865

## Properties
ΔE_f   -156 meV per atom
Energy   -5.0586 eV/atom

---

This record from the Alexandria database describes crystalline SmYPb at its relaxed geometry. The functional is PBE.

Unit cell a=4.1351 b=4.1351 c=10.4520 alpha=90.00 beta=90.00 gamma=90.00
Space group I4mm (No. 107)
Inequivalent atoms, fractional coordinates:
Sm 0.0000 0.0000 0.0000
Y 0.0000 0.0000 0.3152
Pb 0.0000 0.0000 0.6612

## Properties
ΔE_f   -301 meV per atom
Energy   -5.2653 eV/atom

---

This record from the Alexandria database describes crystalline Sm2YPb at its relaxed geometry. The functional is PBE.

Unit cell a=4.2547 b=12.3603 c=9.9257 alpha=90.00 beta=90.00 gamma=90.00
Space group Cmcm (No. 63)
Inequivalent atoms, fractional coordinates:
Sm 0.0000 0.1347 0.0497
Y 0.0000 0.4422 0.2500
Pb 0.0000 0.2533 0.7500

## Properties
ΔE_f   -236 meV per atom
Energy   -5.1388 eV/atom

---

This record from the Alexandria database describes crystalline Sm3YPb3 at its relaxed geometry. The functional is PBE.

Unit cell a=9.6373 b=9.6373 c=6.2924 alpha=90.00 beta=90.00 gamma=120.00
Space group P6_3/m (No. 176)
Inequivalent atoms, fractional coordinates:
Sm 0.0255 0.3321 0.2500
Y 0.3333 0.6667 0.7500
Pb 0.0057 0.3463 0.7500

## Properties
ΔE_f   -273 meV per atom
Energy   -4.8083 eV/atom

---

This record from the Alexandria database describes crystalline Sm3Y2Pb4 at its relaxed geometry. The functional is PBE.

Unit cell a=16.5678 b=5.0625 c=6.8574 alpha=90.00 beta=105.11 gamma=90.00
Space group C2/m (No. 12)
Inequivalent atoms, fractional coordinates:
Sm 0.0000 0.0000 0.0000
Sm 0.1158 0.0000 0.5815
Y 0.1679 0.5000 0.0750
Pb 0.0071 0.5000 0.2830
Pb 0.2470 0.0000 0.2966

## Properties
ΔE_f   -475 meV per atom
Energy   -5.1330 eV/atom

---

This record from the Alexandria database describes crystalline Sm2YPb9 at its relaxed geometry. The functional is PBE.

Unit cell a=4.9024 b=4.9024 c=14.7011 alpha=90.00 beta=90.00 gamma=90.00
Space group P4/mmm (No. 123)
Inequivalent atoms, fractional coordinates:
Sm 0.0000 0.0000 0.1667
Y 0.0000 0.0000 0.5000
Pb 0.0000 0.5000 0.0000
Pb 0.0000 0.5000 0.3350
Pb 0.5000 0.5000 0.1676
Pb 0.5000 0.5000 0.5000

## Properties
ΔE_f   -326 meV per atom
Energy   -4.4327 eV/atom

---

This record from the Alexandria database describes crystalline SmYPb at its relaxed geometry. The functional is PBE.

Unit cell a=4.4517 b=19.9151 c=4.4224 alpha=90.00 beta=90.00 gamma=90.00
Space group Cmc2_1 (No. 36)
Inequivalent atoms, fractional coordinates:
Sm 0.0000 0.0938 0.0000
Y 0.0000 0.2903 0.9987
Pb 0.0000 0.4468 0.0001

## Properties
ΔE_f   -202 meV per atom
Energy   -5.1658 eV/atom

---

This record from the Alexandria database describes crystalline SmYZnPb at its relaxed geometry. The functional is PBE.

Unit cell a=7.4909 b=7.4909 c=7.4909 alpha=90.00 beta=90.00 gamma=90.00
Space group F-43m (No. 216)
Inequivalent atoms, fractional coordinates:
Sm 0.0000 0.0000 0.0000
Y 0.0000 0.0000 0.5000
Zn 0.2500 0.2500 0.7500
Pb 0.2500 0.2500 0.2500

## Properties
ΔE_f   -397 meV per atom
Energy   -4.4384 eV/atom

---

This record from the Alexandria database describes crystalline Sm6Zn5Pb at its relaxed geometry. The functional is PBE.

Unit cell a=5.2007 b=7.4192 c=15.6980 alpha=90.00 beta=90.00 gamma=90.00
Space group Immm (No. 71)
Inequivalent atoms, fractional coordinates:
Sm 0.0000 0.2363 0.0000
Sm 0.0000 0.2574 0.3280
Zn 0.0000 0.0000 0.1678
Zn 0.0000 0.5000 0.1683
Zn 0.0000 0.5000 0.5000
Pb 0.0000 0.0000 0.5000

## Properties
ΔE_f   -342 meV per atom
Energy   -3.5418 eV/atom

---

This record from the Alexandria database describes crystalline SmZnPb at its relaxed geometry. The functional is PBE.

Unit cell a=4.4918 b=4.4918 c=28.2653 alpha=90.00 beta=90.00 gamma=120.00
Space group R-3m (No. 166, hexagonal axes)
Inequivalent atoms, fractional coordinates:
Sm 0.0000 0.0000 0.0636
Zn 0.0000 0.0000 0.3349
Pb 0.0000 0.0000 0.1954

## Properties
ΔE_f   -270 meV per atom
Energy   -3.5036 eV/atom

---

This record from the Alexandria database describes crystalline Sm2ZnPb at its relaxed geometry. The functional is PBE.

Unit cell a=3.5649 b=3.5649 c=33.1464 alpha=90.00 beta=90.00 gamma=120.00
Space group R-3m (No. 166, hexagonal axes)
Inequivalent atoms, fractional coordinates:
Sm 0.0000 0.0000 0.0982
Zn 0.0000 0.0000 0.5000
Pb 0.0000 0.0000 0.0000

## Properties
ΔE_f   -19 meV per atom
Energy   -3.6245 eV/atom

---

This record from the Alexandria database describes crystalline Sm3Zn2Pb at its relaxed geometry. The functional is PBE.

Unit cell a=5.2726 b=15.8202 c=3.7682 alpha=90.00 beta=90.00 gamma=90.00
Space group Pmmn (No. 59, origin choice 2)
Inequivalent atoms, fractional coordinates:
Sm 0.2500 0.0750 0.0001
Sm 0.2500 0.7500 0.0009
Zn 0.2500 0.5798 0.5004
Pb 0.2500 0.2500 0.4995

## Properties
ΔE_f   -371 meV per atom
Energy   -3.7729 eV/atom

---

This record from the Alexandria database describes crystalline Sm4Zn2Pb at its relaxed geometry. The functional is PBE.

Unit cell a=5.1800 b=5.1800 c=25.3413 alpha=90.00 beta=90.00 gamma=120.00
Space group R-3m (No. 166, hexagonal axes)
Inequivalent atoms, fractional coordinates:
Sm 0.0000 0.0000 0.1139
Sm 0.0000 0.0000 0.3669
Zn 0.0000 0.0000 0.2493
Pb 0.0000 0.0000 0.5000

## Properties
ΔE_f   -219 meV per atom
Energy   -3.8093 eV/atom

---

This record from the Alexandria database describes crystalline SmZnPb2 at its relaxed geometry. The functional is PBE.

Unit cell a=4.7818 b=4.7818 c=4.5604 alpha=90.00 beta=90.00 gamma=90.00
Space group P4/mmm (No. 123)
Inequivalent atoms, fractional coordinates:
Sm 0.0000 0.0000 0.0000
Zn 0.5000 0.5000 0.0000
Pb 0.0000 0.5000 0.5000

## Properties
ΔE_f   -304 meV per atom
Energy   -3.6560 eV/atom

---

This record from the Alexandria database describes crystalline Sm5Zn2Pb5 at its relaxed geometry. The functional is PBE.

Unit cell a=16.5832 b=4.6370 c=11.2311 alpha=90.00 beta=128.98 gamma=90.00
Space group C2/m (No. 12)
Inequivalent atoms, fractional coordinates:
Sm 0.0000 0.0000 0.0000
Sm 0.1050 0.0000 0.4133
Sm 0.1930 0.0000 0.8257
Zn 0.1356 0.5000 0.2272
Pb 0.0000 0.5000 0.5000
Pb 0.0680 0.5000 0.8642
Pb 0.2447 0.5000 0.6765

## Properties
ΔE_f   -455 meV per atom
Energy   -4.1786 eV/atom

---

This record from the Alexandria database describes crystalline Sm8Zn2Pb at its relaxed geometry. The functional is PBE.

Unit cell a=16.5316 b=5.3022 c=8.5483 alpha=90.00 beta=119.49 gamma=90.00
Space group C2/m (No. 12)
Inequivalent atoms, fractional coordinates:
Sm 0.0676 0.0000 0.2214
Sm 0.1013 0.5000 0.9611
Sm 0.1494 0.0000 0.7100
Sm 0.1850 0.5000 0.4633
Zn 0.2182 0.0000 0.1141
Pb 0.0000 0.5000 0.5000

## Properties
ΔE_f   -202 meV per atom
Energy   -4.2026 eV/atom

---

This record from the Alexandria database describes crystalline Sm3Zn5Pb12 at its relaxed geometry. The functional is PBE.

Unit cell a=17.3886 b=17.3886 c=17.3886 alpha=90.00 beta=90.00 gamma=90.00
Space group Ia-3d (No. 230)
Inequivalent atoms, fractional coordinates:
Sm 0.0000 0.2500 0.1250
Zn 0.0000 0.0000 0.0000
Zn 0.0000 0.2500 0.3750
Pb 0.0248 0.0705 0.6466

## Properties
ΔE_f   170 meV per atom
Energy   -3.0811 eV/atom

---

This record from the Alexandria database describes crystalline SmZnPb at its relaxed geometry. The functional is PBE.

Unit cell a=4.6535 b=7.2585 c=8.9725 alpha=90.00 beta=90.00 gamma=90.00
Space group Immm (No. 71)
Inequivalent atoms, fractional coordinates:
Sm 0.0000 0.2484 0.0000
Zn 0.0000 0.0000 0.3568
Pb 0.0000 0.5000 0.3163

## Properties
ΔE_f   -365 meV per atom
Energy   -3.5992 eV/atom

---

This record from the Alexandria database describes crystalline Sm2ZnPb at its relaxed geometry. The functional is PBE.

Unit cell a=6.2730 b=4.4327 c=8.6463 alpha=90.00 beta=110.63 gamma=90.00
Space group P2_1/m (No. 11)
Inequivalent atoms, fractional coordinates:
Sm 0.2043 0.2500 0.4404
Sm 0.2192 0.2500 0.9160
Zn 0.3464 0.7500 0.7090
Pb 0.3326 0.7500 0.2096

## Properties
ΔE_f   -405 meV per atom
Energy   -4.0098 eV/atom

---

This record from the Alexandria database describes crystalline Sm5Zn4Pb at its relaxed geometry. The functional is PBE.

Unit cell a=3.6530 b=3.6530 c=18.9091 alpha=90.00 beta=90.00 gamma=90.00
Space group P4/mmm (No. 123)
Inequivalent atoms, fractional coordinates:
Sm 0.0000 0.0000 0.0000
Sm 0.0000 0.0000 0.1919
Sm 0.0000 0.0000 0.3827
Zn 0.5000 0.5000 0.0978
Zn 0.5000 0.5000 0.2846
Pb 0.5000 0.5000 0.5000

## Properties
ΔE_f   -357 meV per atom
Energy   -3.5973 eV/atom

---

This record from the Alexandria database describes crystalline Sm2ZnPb at its relaxed geometry. The functional is PBE.

Unit cell a=3.7424 b=3.7424 c=7.6498 alpha=90.00 beta=90.00 gamma=90.00
Space group P4/mmm (No. 123)
Inequivalent atoms, fractional coordinates:
Sm 0.0000 0.0000 0.2290
Zn 0.5000 0.5000 0.0000
Pb 0.5000 0.5000 0.5000

## Properties
ΔE_f   -406 meV per atom
Energy   -4.0107 eV/atom